# 1
## ZrW (PBE)

Data for an optimized crystal structure of ZrW.

For the calculated density, the calculation gives 11.86 g cm⁻³. The energy of formation comes out at 0.0807 eV/atom. The value obtained for the final energy is -10.670 eV/atom. The value obtained for the magnetic moment is 0.0 Bohr magnetons per cell.

The space group is P4/nmm (No. 129, origin choice 2) and the conventional cell measures 3.2425, 3.2425 and 7.3277 Å, with angles of 90.00, 90.00 and 90.00 degrees. The asymmetric unit holds Zr at (0.2500, 0.2500, 0.1486) and W at (0.2500, 0.2500, 0.5980).



# 2
## Zr4InSe (PBE)

Data for an optimized crystal structure of Zr4InSe.

The uncorrected formation energy is 14 kJ per mole of atoms. For the calculated density, the calculation gives 6.70 g cm⁻³. The value obtained for the final energy is -6.593 eV/atom. The value obtained for the magnetic moment is 0.0 Bohr magnetons per cell.

The space group is F-43m (No. 216) and the conventional cell measures 8.2136, 8.2136 and 8.2136 Å, with angles of 90.00, 90.00 and 90.00 degrees. The asymmetric unit holds Zr at (0.1234, 0.1234, 0.1234), In at (0.2500, 0.2500, 0.7500) and Se at (0.0000, 0.0000, 0.5000).



# 3
## Li2Mg (PBE)

Data for an optimized crystal structure of Li2Mg.

For the calculated density, the calculation gives 1.00 g cm⁻³. The energy of formation comes out at -0.0017 eV/atom. The value obtained for the final energy is -1.809 eV/atom. The value obtained for the magnetic moment is 0.0 Bohr magnetons per cell.

The space group is P6_3/mmc (No. 194) and the conventional cell measures 3.1012, 3.1012 and 15.1589 Å, with angles of 90.00, 90.00 and 120.00 degrees. The asymmetric unit holds Li at (0.3333, 0.6667, 0.0825) and Mg at (0.3333, 0.6667, 0.7500).